Crystalline FeAs3F at its relaxed geometry. Source: Alexandria, functional PBE+U.

Output
Theoretical density in g cm⁻³: 4.9
Total moment in Bohr magnetons per cell: 3.8
E above lowest polymorph in eV/atom: 0.000

abc: 4.652 4.652 4.652
angles: 90.00 90.00 90.00
Atoms (fractional coordinates):
Fe: 0.000 0.000 0.000
As: 0.000 0.000 0.500
As: 0.000 0.500 0.000
As: 0.500 0.000 0.000
F: 0.500 0.500 0.500